PrZn12Ag6 | PBE | optimized geometry

volume	18.11	Å³/atom
formation enthalpy at 0 K	-0.0294	eV/atom

POSCAR file:
```
PrZn12Ag6
1.0
7.2940 0.0014 0.0019
-1.8068 7.0667 0.0019
-1.8068 -2.3273 6.6725
Pr Zn Ag
1 12 6
Direct
0.0000 0.0000 0.0000
0.8920 0.1080 0.5000
0.8712 0.6203 0.6203
0.6203 0.6203 0.8712
0.3797 0.1288 0.3797
0.3797 0.3797 0.1288
0.1288 0.3797 0.3797
0.1080 0.5000 0.8920
0.5000 0.8920 0.1080
0.1080 0.8920 0.5000
0.8920 0.5000 0.1080
0.5000 0.1080 0.8920
0.6203 0.8712 0.6203
0.7089 0.2912 0.2912
0.2912 0.2912 0.7089
0.2912 0.7089 0.2912
0.7088 0.7088 0.2911
0.2911 0.7088 0.7088
0.7088 0.2911 0.7088
```